# 1
Compound: YH2Au2
Source: Alexandria
Functional: PBE-GGA
Structure: optimized geometry

Output
**Crystal system**: tetragonal
**Total energy**: -4.3194 eV per atom

a b c (Å): 6.071 6.071 4.015
angles (deg): 90.00 90.00 90.00
Positions (direct):
Y: 0.000 0.000 0.000
Y: 0.500 0.500 0.000
H: 0.159 0.341 0.000
H: 0.341 0.841 0.000
H: 0.659 0.159 0.000
H: 0.841 0.659 0.000
Au: 0.164 0.336 0.500
Au: 0.336 0.836 0.500
Au: 0.664 0.164 0.500
Au: 0.836 0.664 0.500

***

# 2
Compound: HfPaCrMo
Source: Alexandria
Functional: PBE-GGA
Structure: optimized geometry

Output
**ΔH_f (0 K)**: 0.0772 eV/atom
**Crystal system**: cubic
**Total energy**: -9.8988 eV per atom

a b c (Å): 4.721 4.721 4.721
angles (deg): 60.00 60.00 60.00
Positions (direct):
Hf: 0.000 0.000 0.000
Pa: 0.500 0.500 0.500
Cr: 0.750 0.750 0.750
Mo: 0.250 0.250 0.250

***

# 3
Compound: Li4DySb2
Source: Alexandria
Functional: PBE-GGA
Structure: optimized geometry

Output
**Crystal system**: trigonal
**Total energy**: -3.6364 eV per atom

a b c (Å): 8.463 8.463 8.463
angles (deg): 31.12 31.12 31.12
Positions (direct):
Li: 0.072 0.072 0.072
Li: 0.361 0.361 0.361
Li: 0.639 0.639 0.639
Li: 0.928 0.928 0.928
Dy: 0.500 0.500 0.500
Sb: 0.244 0.244 0.244
Sb: 0.756 0.756 0.756

***

# 4
Compound: Pm19Dy6Er4
Source: Alexandria
Functional: PBE-GGA
Structure: optimized geometry

Output
**ΔH_f (0 K)**: 0.3640 eV/atom
**Crystal system**: cubic
**Total energy**: -4.3300 eV per atom

a b c (Å): 10.921 10.921 10.921
angles (deg): 109.47 109.47 109.47
Positions (direct):
Pm: 0.000 0.000 0.000
Pm: 0.000 0.259 0.259
Pm: 0.000 0.741 0.741
Pm: 0.020 0.219 0.676
Pm: 0.199 0.980 0.656
Pm: 0.219 0.676 0.020
Pm: 0.259 0.000 0.259
Pm: 0.259 0.259 0.000
Pm: 0.324 0.543 0.344
Pm: 0.344 0.324 0.543
Pm: 0.457 0.781 0.801
Pm: 0.543 0.344 0.324
Pm: 0.656 0.199 0.980
Pm: 0.676 0.020 0.219
Pm: 0.741 0.000 0.741
Pm: 0.741 0.741 0.000
Pm: 0.781 0.801 0.457
Pm: 0.801 0.457 0.781
Pm: 0.980 0.656 0.199
Dy: 0.125 0.500 0.625
Dy: 0.375 0.875 0.500
Dy: 0.500 0.375 0.875
Dy: 0.500 0.625 0.125
Dy: 0.625 0.125 0.500
Dy: 0.875 0.500 0.375
Er: 0.000 0.000 0.360
Er: 0.000 0.360 0.000
Er: 0.360 0.000 0.000
Er: 0.640 0.640 0.640

***

# 5
Compound: K3Ho3PaTe8
Source: Alexandria
Functional: PBE-GGA
Structure: optimized geometry

Output
**Crystal system**: trigonal
**Total energy**: -4.7168 eV per atom

a b c (Å): 9.822 9.822 9.822
angles (deg): 53.85 53.85 53.85
Positions (direct):
K: 0.000 0.500 0.500
K: 0.500 0.000 0.500
K: 0.500 0.500 0.000
Ho: 0.000 0.000 0.500
Ho: 0.000 0.500 0.000
Ho: 0.500 0.000 0.000
Pa: 0.500 0.500 0.500
Te: 0.233 0.737 0.737
Te: 0.236 0.236 0.236
Te: 0.263 0.263 0.767
Te: 0.263 0.767 0.263
Te: 0.737 0.233 0.737
Te: 0.737 0.737 0.233
Te: 0.764 0.764 0.764
Te: 0.767 0.263 0.263

***

# 6
Compound: ReRu
Source: Alexandria
Functional: PBE-GGA
Structure: optimized geometry

Output
**ΔH_f (0 K)**: 0.6634 eV/atom
**Crystal system**: monoclinic
**Total energy**: -10.1986 eV per atom

a b c (Å): 3.934 3.934 2.702
angles (deg): 109.87 109.87 66.84
Positions (direct):
Re: 0.000 0.000 0.000
Ru: 0.380 0.380 0.380